BaPrEuFeO6 | PBE+U | optimized geometry

Cell lengths 5.8924, 5.8924, 5.8924 Å; angles 60.00, 60.00, 60.00 degrees
Closest atoms and distances in Å follow each position.
Fractional positions:
Ba 0.7500 0.7500 0.7500  12 O 2.95
Pr 0.2500 0.2500 0.2500  12 O 2.95
O 0.7341 0.2659 0.2659  1 Fe 1.95
O 0.2659 0.7341 0.7341  1 Fe 1.95
O 0.2659 0.7341 0.2659  1 Fe 1.95
O 0.7341 0.2659 0.7341  1 Fe 1.95
O 0.2659 0.2659 0.7341  1 Fe 1.95
O 0.7341 0.7341 0.2659  1 Fe 1.95
Eu 0.0000 0.0000 0.0000  6 O 2.22
Fe 0.5000 0.5000 0.5000  6 O 1.95

D(E_F), states/eV per cell: 10.7
Uncorrected energy, eV per cell: -74.493
Space-group type: F-43m
M_tot, μB/f.u.: 2.0